No. 1
Compound: CdTePbI2
Source: Alexandria
Functional: PBE
Structure: relaxed

Summary:
The uncorrected energy comes out at -0.081 hartree per atom. The energy above the lowest structure with this stoichiometry is 0 meV/atom. The calculation puts the spin magnetization at 0.000 μB/f.u. The calculation puts the uncorrected formation energy at -0.0344 eV/atom.

a b c (Å): 5.7323 5.7323 5.8788
angles (deg): 90.00 90.00 90.00
Last column: nearest neighbours and their distance in Å.
Atoms (fractional coordinates):
I 0.0000 0.5000 0.0000  2 Cd 2.87
I 0.5000 0.0000 0.0000  2 Cd 2.87
Pb 0.5000 0.5000 0.5000  4 Te 4.05, 8 I 4.11
Te 0.0000 0.0000 0.5000  2 Cd 2.94
Cd 0.0000 0.0000 0.0000  4 I 2.87, 2 Te 2.94

***

No. 2
Compound: ScHgMo2
Source: Alexandria
Functional: PBE
Structure: relaxed

Summary:
The uncorrected energy comes out at -0.253 hartree per atom. The calculation puts the spin magnetization at 0.000 μB/f.u.

a b c (Å): 9.2037 9.2037 9.2037
angles (deg): 19.61 19.61 19.61
Last column: nearest neighbours and their distance in Å.
Atoms (fractional coordinates):
Hg 0.7472 0.7472 0.7472  3 Mo 3.06, 3 Sc 3.11, 6 Hg 3.13
Mo 0.9895 0.9895 0.9895  3 Mo 2.56
Mo 0.2561 0.2561 0.2561  3 Mo 2.56
Sc 0.5072 0.5072 0.5072  3 Mo 2.87, 3 Hg 3.11, 6 Sc 3.13

***

No. 3
Compound: TaCu2GeAs
Source: Alexandria
Functional: PBE
Structure: relaxed

Summary:
The uncorrected energy comes out at -0.188 hartree per atom. The calculation puts the spin magnetization at 0.000 μB/f.u.

a b c (Å): 4.3386 5.0342 4.3386
angles (deg): 90.00 90.00 90.00
Last column: nearest neighbours and their distance in Å.
Atoms (fractional coordinates):
Ta 0.0000 0.5000 0.0000  2 Ge 2.52
As 0.5000 0.5000 0.5000  4 Ta 3.07, 8 Cu 3.32
Ge 0.0000 0.0000 0.0000  4 Cu 2.17
Cu 0.0000 0.0000 0.5000  2 Ge 2.17
Cu 0.5000 0.0000 0.0000  2 Ge 2.17

***

No. 4
Compound: RbTiTlF6
Source: Alexandria
Functional: PBE
Structure: relaxed

Summary:
The uncorrected energy comes out at -0.202 hartree per atom. The calculation puts the spin magnetization at 0.000 μB/f.u. The calculation puts the uncorrected formation energy at -2.9911 eV/atom.

a b c (Å): 6.4726 6.4729 5.1820
angles (deg): 90.00 90.00 59.82
Last column: nearest neighbours and their distance in Å.
Atoms (fractional coordinates):
F 0.0959 0.3252 0.2920  1 Ti 1.90
F 0.0944 0.5808 0.7070  1 Ti 1.90
F 0.3252 0.0959 0.7081  1 Ti 1.90
F 0.3253 0.5793 0.2918  1 Ti 1.90
F 0.5808 0.0945 0.2930  1 Ti 1.90
F 0.5793 0.3254 0.7082  1 Ti 1.90
Ti 0.3334 0.3334 0.5000  6 F 1.90
Tl 0.9993 0.9994 0.0000  6 F 2.89-2.91
Rb 0.6662 0.6662 0.4999  6 F 2.76